No. 1
Computed, not measured: a relaxed structure of MgTl3Sb2S6 at the PBE-GGA level of DFT.

Cell lengths 6.8271, 11.8790, 7.6854 Å; angles 90.00, 107.23, 90.00 degrees
Space group C2/m (No. 12)
Unique sites:
Mg 0.0000 0.0000 0.0000 [2 per cell]
Tl 0.0000 0.1640 0.5000 [4 per cell]
Tl 0.0000 0.5000 0.5000 [2 per cell]
Sb 0.0000 0.3334 0.0000 [4 per cell]
S 0.2312 0.1632 0.2021 [8 per cell]
S 0.2389 0.5000 0.1962 [4 per cell]

=====

No. 2
Computed, not measured: a relaxed structure of Mg2Tl3SbS6 at the PBE-GGA level of DFT.

Cell lengths 6.6551, 11.5035, 7.7241 Å; angles 90.00, 106.38, 90.00 degrees
Space group C2/m (No. 12)
Unique sites:
Mg 0.0000 0.1663 0.0000 [4 per cell]
Tl 0.0000 0.0000 0.5000 [2 per cell]
Tl 0.0000 0.3269 0.5000 [4 per cell]
Sb 0.0000 0.5000 0.0000 [2 per cell]
S 0.2241 0.3394 0.1858 [8 per cell]
S 0.2427 0.0000 0.1963 [4 per cell]

=====

No. 3
Computed, not measured: a relaxed structure of YMgSbS2 at the PBE-GGA level of DFT.

Cell lengths 5.2155, 5.2155, 5.7715 Å; angles 90.00, 90.00, 90.00 degrees
Space group P4/mmm (No. 123)
Unique sites:
Y 0.0000 0.0000 0.0000 [1 per cell]
Mg 0.5000 0.5000 0.0000 [1 per cell]
Sb 0.0000 0.0000 0.5000 [1 per cell]
S 0.0000 0.5000 0.5000 [2 per cell]

=====

No. 4
Computed, not measured: a relaxed structure of MgSc2S at the PBE-GGA level of DFT.

Cell lengths 7.6434, 7.6434, 6.1522 Å; angles 90.00, 90.00, 90.00 degrees
Space group I-42d (No. 122)
Unique sites:
Mg 0.0000 0.0000 0.0000 [4 per cell]
Sc 0.1894 0.2500 0.6250 [8 per cell]
S 0.0000 0.0000 0.5000 [4 per cell]

Output
Distance to the lowest polymorph of the same formula in meV/atom: 421.7

=====

No. 5
Computed, not measured: a relaxed structure of MgSc2S at the PBE-GGA level of DFT.

Cell lengths 6.8401, 6.8401, 6.8401 Å; angles 90.00, 90.00, 90.00 degrees
Space group Fm-3m (No. 225)
Unique sites:
Mg 0.0000 0.0000 0.0000 [4 per cell]
Sc 0.2500 0.2500 0.2500 [8 per cell]
S 0.0000 0.0000 0.5000 [4 per cell]

Output
Distance to the lowest polymorph of the same formula in meV/atom: 679.9

=====

No. 6
Computed, not measured: a relaxed structure of MgSc3S at the PBE-GGA level of DFT.

Cell lengths 4.8827, 4.8827, 4.8827 Å; angles 90.00, 90.00, 90.00 degrees
Space group Pm-3m (No. 221)
Unique sites:
Mg 0.0000 0.0000 0.0000 [1 per cell]
Sc 0.0000 0.5000 0.5000 [3 per cell]
S 0.5000 0.5000 0.5000 [1 per cell]

Output
Distance to the lowest polymorph of the same formula in meV/atom: 0.0

=====

No. 7
Computed, not measured: a relaxed structure of MgSc2S4 at the PBE-GGA level of DFT.

Cell lengths 12.1031, 3.6517, 12.6561 Å; angles 90.00, 90.00, 90.00 degrees
Space group Pnma (No. 62)
Unique sites:
Mg 0.1201 0.2500 0.0654 [4 per cell]
Sc 0.1110 0.7500 0.4240 [4 per cell]
Sc 0.1469 0.7500 0.7982 [4 per cell]
S 0.0213 0.2500 0.8827 [4 per cell]
S 0.0303 0.7500 0.6192 [4 per cell]
S 0.2190 0.7500 0.2466 [4 per cell]
S 0.2487 0.7500 0.9814 [4 per cell]

Output
Distance to the lowest polymorph of the same formula in meV/atom: 72.3

=====

No. 8
Computed, not measured: a relaxed structure of Mg5ScS6 at the PBE-GGA level of DFT.

Cell lengths 6.4334, 11.1100, 6.4259 Å; angles 90.00, 109.48, 90.00 degrees
Space group C2/m (No. 12)
Unique sites:
Mg 0.0000 0.0000 0.0000 [2 per cell]
Mg 0.0000 0.1670 0.5000 [4 per cell]
Mg 0.0000 0.3331 0.0000 [4 per cell]
Sc 0.0000 0.5000 0.5000 [2 per cell]
S 0.2484 0.0000 0.7524 [4 per cell]
S 0.2477 0.1678 0.2487 [8 per cell]

=====

No. 9
Computed, not measured: a relaxed structure of Mg4Sc3S8 at the PBE-GGA level of DFT.

Cell lengths 10.3945, 10.4115, 7.3723 Å; angles 90.00, 134.71, 90.00 degrees
Space group C2/m (No. 12)
Unique sites:
Mg 0.0000 0.0000 0.0000 [2 per cell]
Mg 0.0000 0.5000 0.5000 [2 per cell]
Mg 0.2500 0.2500 0.0000 [4 per cell]
Sc 0.0000 0.5000 0.0000 [2 per cell]
Sc 0.2500 0.2500 0.5000 [4 per cell]
S 0.0000 0.2491 0.0000 [4 per cell]
S 0.0000 0.2522 0.5000 [4 per cell]
S 0.2432 0.5000 0.9875 [4 per cell]
S 0.2493 0.0000 0.5004 [4 per cell]

=====

No. 10
Computed, not measured: a relaxed structure of MgSc3S at the PBE-GGA level of DFT.

Cell lengths 5.1595, 5.1595, 5.1595 Å; angles 90.00, 90.00, 90.00 degrees
Space group Pm-3m (No. 221)
Unique sites:
Mg 0.0000 0.0000 0.0000 [1 per cell]
Sc 0.0000 0.0000 0.5000 [3 per cell]
S 0.5000 0.5000 0.5000 [1 per cell]

Output
Distance to the lowest polymorph of the same formula in meV/atom: 1329.0

=====

No. 11
Computed, not measured: a relaxed structure of Mg4ScS5 at the PBE-GGA level of DFT.

Cell lengths 3.6827, 3.6827, 26.3903 Å; angles 90.00, 90.00, 90.00 degrees
Space group I4/mmm (No. 139)
Unique sites:
Mg 0.0000 0.0000 0.1008 [4 per cell]
Mg 0.0000 0.0000 0.2994 [4 per cell]
Sc 0.0000 0.0000 0.5000 [2 per cell]
S 0.0000 0.0000 0.0000 [2 per cell]
S 0.0000 0.0000 0.2002 [4 per cell]
S 0.0000 0.0000 0.3988 [4 per cell]

=====

No. 12
Computed, not measured: a relaxed structure of MgSc2S at the PBE-GGA level of DFT.

Cell lengths 3.4707, 3.4707, 27.4613 Å; angles 90.00, 90.00, 120.00 degrees
Space group R-3m (No. 166, hexagonal axes)
Unique sites:
Mg 0.0000 0.0000 0.0000 [3 per cell]
Sc 0.0000 0.0000 0.1119 [6 per cell]
S 0.0000 0.0000 0.5000 [3 per cell]

Output
Distance to the lowest polymorph of the same formula in meV/atom: 292.5

=====

In meV/atom, the energy relative to the elements, uncorrected values for the records above are, in order, -470; -638; 221; -519; -261; -685; -1716; -1431; -1614; 644; -1484; -648.